# 1
First-principles (PBE-GGA) data for a geometry-optimized NbNi2N structure, as listed in the Alexandria database.

Raw total energy in hartree per atom: -0.285
Volume in Å³/cell: 92
Energy relative to the elements, uncorrected in eV per atom: -0.2758

a = 4.872 Å, b = 4.872 Å, c = 4.632 Å
α = 90.00°, β = 90.00°, γ = 122.70°
Sites, in units of the cell vectors:
Nb 0.206 0.206 0.000
Nb 0.794 0.794 0.500
Ni 0.143 0.476 0.535
Ni 0.476 0.143 0.465
Ni 0.524 0.857 0.965
Ni 0.857 0.524 0.035
N 0.167 0.833 0.750
N 0.833 0.167 0.250

=====

# 2
First-principles (PBE-GGA) data for a geometry-optimized NbNi2N structure, as listed in the Alexandria database.

Raw total energy in hartree per atom: -0.289
Volume in Å³/cell: 93
Energy relative to the elements, uncorrected in eV per atom: -0.3664

a = 4.758 Å, b = 4.758 Å, c = 5.457 Å
α = 106.26°, β = 106.26°, γ = 52.75°
Sites, in units of the cell vectors:
Nb 0.146 0.146 0.310
Nb 0.854 0.854 0.690
Ni 0.172 0.172 0.855
Ni 0.500 0.500 0.000
Ni 0.500 0.500 0.500
Ni 0.828 0.828 0.145
N 0.338 0.338 0.671
N 0.662 0.662 0.329

=====

# 3
First-principles (PBE-GGA) data for a geometry-optimized NbNi2N structure, as listed in the Alexandria database.

Raw total energy in hartree per atom: -0.289
Volume in Å³/cell: 46
Energy relative to the elements, uncorrected in eV per atom: -0.3726

a = 5.438 Å, b = 5.438 Å, c = 5.438 Å
α = 147.56°, β = 147.56°, γ = 46.54°
Sites, in units of the cell vectors:
Nb 0.000 0.000 0.000
Ni 0.311 0.311 0.000
Ni 0.689 0.689 0.000
N 0.500 0.500 0.000

=====

# 4
First-principles (PBE-GGA) data for a geometry-optimized NbNi3N structure, as listed in the Alexandria database.

Raw total energy in hartree per atom: -0.257
Volume in Å³/cell: 57
Offset from the most stable computed form in meV/atom: 0
Energy relative to the elements, uncorrected in eV per atom: 0.1530

a = 3.854 Å, b = 3.854 Å, c = 3.854 Å
α = 90.00°, β = 90.00°, γ = 90.00°
Sites, in units of the cell vectors:
Nb 0.000 0.000 0.000
Ni 0.000 0.500 0.500
Ni 0.500 0.000 0.500
Ni 0.500 0.500 0.000
N 0.500 0.500 0.500

=====

# 5
First-principles (PBE-GGA) data for a geometry-optimized Nb2NiN structure, as listed in the Alexandria database.

Raw total energy in hartree per atom: -0.318
Volume in Å³/cell: 132
Energy relative to the elements, uncorrected in eV per atom: -0.0814

a = 6.162 Å, b = 6.162 Å, c = 6.162 Å
α = 130.68°, β = 130.68°, γ = 72.32°
Sites, in units of the cell vectors:
Nb 0.065 0.625 0.940
Nb 0.375 0.315 0.440
Nb 0.685 0.125 0.060
Nb 0.875 0.935 0.560
Ni 0.250 0.750 0.500
Ni 0.500 0.500 0.000
N 0.000 0.000 0.000
N 0.750 0.250 0.500

=====

# 6
First-principles (PBE-GGA) data for a geometry-optimized Nb6Ni3N2 structure, as listed in the Alexandria database.

Raw total energy in hartree per atom: -0.325
Volume in Å³/cell: 159
Energy relative to the elements, uncorrected in eV per atom: -0.2697

a = 18.779 Å, b = 18.779 Å, c = 18.779 Å
α = 9.58°, β = 9.58°, γ = 9.58°
Sites, in units of the cell vectors:
Nb 0.102 0.102 0.102
Nb 0.189 0.189 0.189
Nb 0.367 0.367 0.367
Nb 0.633 0.633 0.633
Nb 0.811 0.811 0.811
Nb 0.898 0.898 0.898
Ni 0.000 0.000 0.000
Ni 0.269 0.269 0.269
Ni 0.731 0.731 0.731
N 0.456 0.456 0.456
N 0.544 0.544 0.544

=====

# 7
First-principles (PBE-GGA) data for a geometry-optimized NbNi3N structure, as listed in the Alexandria database.

Raw total energy in hartree per atom: -0.175
Volume in Å³/cell: 94
Offset from the most stable computed form in meV/atom: 2243
Energy relative to the elements, uncorrected in eV per atom: 2.3962

a = 4.553 Å, b = 4.553 Å, c = 4.553 Å
α = 90.00°, β = 90.00°, γ = 90.00°
Sites, in units of the cell vectors:
Nb 0.000 0.000 0.000
Ni 0.000 0.000 0.500
Ni 0.000 0.500 0.000
Ni 0.500 0.000 0.000
N 0.500 0.500 0.500

=====

# 8
First-principles (PBE-GGA) data for a geometry-optimized Np2NbNiN5 structure, as listed in the Alexandria database.

Raw total energy in hartree per atom: -0.369
Volume in Å³/cell: 205
Energy relative to the elements, uncorrected in eV per atom: -0.7808

a = 6.637 Å, b = 6.637 Å, c = 10.032 Å
α = 90.00°, β = 90.00°, γ = 152.35°
Sites, in units of the cell vectors:
Np 0.114 0.886 0.500
Np 0.136 0.864 0.121
Np 0.864 0.136 0.621
Np 0.886 0.114 0.000
Nb 0.191 0.809 0.820
Nb 0.809 0.191 0.320
Ni 0.491 0.509 0.293
Ni 0.509 0.491 0.793
N 0.043 0.957 0.893
N 0.291 0.709 0.472
N 0.305 0.695 0.167
N 0.357 0.643 0.820
N 0.492 0.508 0.601
N 0.508 0.492 0.101
N 0.643 0.357 0.320
N 0.695 0.305 0.667
N 0.709 0.291 0.972
N 0.957 0.043 0.393

=====

Q: What is the raw total energy in the eighth record?
A: -0.369 hartree per atom